This record from the Alexandria database describes crystalline MnNb2Ag2S6 at its relaxed geometry. The functional is PBE.

abc: 5.960 5.960 7.559
angles: 86.18 86.18 122.72
Site moments in Bohr magnetons follow the coordinates.
Element x y z (fractional)
Mn1 0.000 0.000 0.500  1.49
Nb1 0.364 0.636 0.500  -0.16
Nb2 0.636 0.364 0.500  -0.16
Ag1 0.846 0.154 0.000  -0.01
Ag2 0.154 0.846 0.000  -0.01
S1 0.651 0.651 0.718  -0.01
S2 0.949 0.277 0.683  -0.01
S3 0.349 0.349 0.282  -0.01
S4 0.277 0.949 0.683  -0.01
S5 0.051 0.723 0.317  -0.01
S6 0.723 0.051 0.317  -0.01

Computed properties:
Uncorrected formation energy   -0.623 eV per atom
Space group   C2/m
Energy   -66.6 eV per formula unit
N(E_F)   1.283 states/eV/cell